A relaxed structure of CrSbP2. Source: Alexandria, functional PBE-GGA.

Values from the calculation:
DOS at the Fermi energy in states/eV/atom: 0.344
Formation energy without anion corrections in eV per atom: 0.28
DFT total energy in eV/atom: -5.86

CIF file:
```
data_CrSbP2
_cell_length_a 5.259
_cell_length_b 5.259
_cell_length_c 5.474
_cell_angle_alpha 90.00
_cell_angle_beta 90.00
_cell_angle_gamma 90.00
_symmetry_space_group_name_H-M 'I 4/m m m'
_symmetry_Int_Tables_number 139
_symmetry_space_group_name_Hall '-I 4 2'
loop_
_atom_site_label
_atom_site_fract_x
_atom_site_fract_y
_atom_site_fract_z
Cr1 0.000 0.000 0.000
Sb1 0.000 0.000 0.500
P1 0.000 0.500 0.000
```



A relaxed structure of CrSbP2. Source: Alexandria, functional PBE-GGA.

Values from the calculation:
DOS at the Fermi energy in states/eV/atom: 0.514
Formation energy without anion corrections in eV per atom: 0.50
DFT total energy in eV/atom: -5.64

CIF file:
```
data_CrSbP2
_cell_length_a 3.794
_cell_length_b 3.794
_cell_length_c 10.192
_cell_angle_alpha 90.00
_cell_angle_beta 90.00
_cell_angle_gamma 90.00
_symmetry_space_group_name_H-M 'I -4 m 2'
_symmetry_Int_Tables_number 119
_symmetry_space_group_name_Hall 'I -4 -2'
loop_
_atom_site_label
_atom_site_fract_x
_atom_site_fract_y
_atom_site_fract_z
Cr1 0.000 0.000 0.000
Sb1 0.000 0.500 0.250
P1 0.000 0.000 0.500
P2 0.000 0.500 0.750
```



A relaxed structure of CrSbP2. Source: Alexandria, functional PBE-GGA.

Values from the calculation:
DOS at the Fermi energy in states/eV/atom: 0.725
Formation energy without anion corrections in eV per atom: 0.67
DFT total energy in eV/atom: -5.47

CIF file:
```
data_CrSbP2
_cell_length_a 6.593
_cell_length_b 6.593
_cell_length_c 6.593
_cell_angle_alpha 90.00
_cell_angle_beta 90.00
_cell_angle_gamma 90.00
_symmetry_space_group_name_H-M 'F -4 3 m'
_symmetry_Int_Tables_number 216
_symmetry_space_group_name_Hall 'F -4 2 3'
loop_
_atom_site_label
_atom_site_fract_x
_atom_site_fract_y
_atom_site_fract_z
Cr1 0.000 0.000 0.000
Sb1 0.250 0.250 0.750
P1 0.000 0.000 0.500
P2 0.250 0.250 0.250
```



What is the formation energy without anion corrections in the first record?
0.28 eV per atom



Repeat the first record exactly.
A relaxed structure of CrSbP2. Source: Alexandria, functional PBE-GGA.

Values from the calculation:
DOS at the Fermi energy in states/eV/atom: 0.344
Formation energy without anion corrections in eV per atom: 0.28
DFT total energy in eV/atom: -5.86

CIF file:
```
data_CrSbP2
_cell_length_a 5.259
_cell_length_b 5.259
_cell_length_c 5.474
_cell_angle_alpha 90.00
_cell_angle_beta 90.00
_cell_angle_gamma 90.00
_symmetry_space_group_name_H-M 'I 4/m m m'
_symmetry_Int_Tables_number 139
_symmetry_space_group_name_Hall '-I 4 2'
loop_
_atom_site_label
_atom_site_fract_x
_atom_site_fract_y
_atom_site_fract_z
Cr1 0.000 0.000 0.000
Sb1 0.000 0.000 0.500
P1 0.000 0.500 0.000
```



Look up the formation energy without anion corrections of the first one.
0.28 eV per atom